# 1
NaNbHg after structural relaxation, computed with PBE-GGA.

abc: 6.580 6.580 6.580
angles: 90.00 90.00 90.00
Positions (direct):
Na 0.000 0.000 0.000
Na 0.000 0.500 0.500
Na 0.500 0.000 0.500
Na 0.500 0.500 0.000
Nb 0.000 0.000 0.500
Nb 0.000 0.500 0.000
Nb 0.500 0.000 0.000
Nb 0.500 0.500 0.500
Hg 0.250 0.250 0.250
Hg 0.250 0.750 0.750
Hg 0.750 0.250 0.750
Hg 0.750 0.750 0.250

* electronic total energy: -0.217 Ry/atom
* volume: 23.74 Å³ per atom

---

# 2
PrGdCBr after structural relaxation, computed with PBE-GGA.

abc: 3.774 3.774 14.739
angles: 90.00 90.00 120.00
Positions (direct):
Pr 0.333 0.667 0.000
Pr 0.667 0.333 0.500
Gd 0.333 0.667 0.317
Gd 0.667 0.333 0.817
C 0.000 0.000 0.401
C 0.000 0.000 0.901
Br 0.333 0.667 0.665
Br 0.667 0.333 0.165

* electronic total energy: -0.441 Ry/atom
* volume: 22.73 Å³ per atom

---

# 3
Gd2ReOs3 after structural relaxation, computed with PBE-GGA.

abc: 5.446 5.446 8.574
angles: 90.00 90.00 120.00
Positions (direct):
Gd 0.333 0.667 0.065
Gd 0.333 0.667 0.435
Gd 0.667 0.333 0.565
Gd 0.667 0.333 0.935
Re 0.000 0.000 0.000
Re 0.000 0.000 0.500
Os 0.172 0.344 0.750
Os 0.172 0.828 0.750
Os 0.344 0.172 0.250
Os 0.656 0.828 0.750
Os 0.828 0.172 0.250
Os 0.828 0.656 0.250

* electronic total energy: -0.696 Ry/atom
* volume: 18.35 Å³ per atom
* formation energy: -0.24 eV/atom

---

# 4
CsCuCl6 after structural relaxation, computed with PBE-GGA.

abc: 5.250 7.169 7.307
angles: 70.78 70.86 73.03
Positions (direct):
Cs 0.000 0.000 0.000
Cu 0.338 0.477 0.503
Cl 0.007 0.502 0.006
Cl 0.129 0.240 0.494
Cl 0.444 0.406 0.796
Cl 0.557 0.989 0.504
Cl 0.565 0.621 0.191
Cl 0.973 0.761 0.506

* electronic total energy: -0.189 Ry/atom
* volume: 30.01 Å³ per atom

---

# 5
AlFeNiAg after structural relaxation, computed with PBE-GGA.

abc: 6.007 6.007 6.007
angles: 90.00 90.00 90.00
Positions (direct):
Al 0.000 0.000 0.000
Al 0.000 0.500 0.500
Al 0.500 0.000 0.500
Al 0.500 0.500 0.000
Fe 0.250 0.250 0.250
Fe 0.250 0.750 0.750
Fe 0.750 0.250 0.750
Fe 0.750 0.750 0.250
Ni 0.250 0.250 0.750
Ni 0.250 0.750 0.250
Ni 0.750 0.250 0.250
Ni 0.750 0.750 0.750
Ag 0.000 0.000 0.500
Ag 0.000 0.500 0.000
Ag 0.500 0.000 0.000
Ag 0.500 0.500 0.500

* electronic total energy: -0.374 Ry/atom
* volume: 13.54 Å³ per atom

---

# 6
Pr2NdMg3Ga3 after structural relaxation, computed with PBE-GGA.

abc: 4.550 7.511 7.511
angles: 119.88 90.00 90.00
Positions (direct):
Pr 0.000 0.211 0.789
Pr 0.000 0.789 0.211
Nd 0.000 0.366 0.366
Mg 0.500 0.031 0.031
Mg 0.500 0.546 0.788
Mg 0.500 0.788 0.546
Ga 0.000 0.787 0.787
Ga 0.500 0.123 0.454
Ga 0.500 0.454 0.123

* electronic total energy: -0.265 Ry/atom
* volume: 24.73 Å³ per atom

---

# 7
LuNi2Pt after structural relaxation, computed with PBE-GGA.

abc: 6.273 6.273 6.273
angles: 90.00 90.00 90.00
Positions (direct):
Lu 0.000 0.000 0.000
Lu 0.000 0.500 0.500
Lu 0.500 0.000 0.500
Lu 0.500 0.500 0.000
Ni 0.000 0.000 0.500
Ni 0.000 0.500 0.000
Ni 0.250 0.250 0.250
Ni 0.250 0.750 0.750
Ni 0.500 0.000 0.000
Ni 0.500 0.500 0.500
Ni 0.750 0.250 0.750
Ni 0.750 0.750 0.250
Pt 0.250 0.250 0.750
Pt 0.250 0.750 0.250
Pt 0.750 0.250 0.250
Pt 0.750 0.750 0.750

* electronic total energy: -0.432 Ry/atom
* volume: 15.43 Å³ per atom
* formation energy: -0.45 eV/atom

---

# 8
TaNb2H6 after structural relaxation, computed with PBE-GGA.

abc: 5.541 5.541 5.541
angles: 146.40 131.49 60.31
Positions (direct):
Ta 0.000 0.000 0.000
Nb 0.334 0.334 0.000
Nb 0.666 0.666 0.000
H 0.083 0.835 0.248
H 0.245 0.500 0.745
H 0.414 0.165 0.248
H 0.586 0.835 0.752
H 0.755 0.500 0.255
H 0.917 0.165 0.752

* electronic total energy: -0.441 Ry/atom
* volume: 7.76 Å³ per atom

---

# 9
LiLaAsIr after structural relaxation, computed with PBE-GGA.

abc: 6.660 6.660 6.660
angles: 90.00 90.00 90.00
Positions (direct):
Li 0.000 0.000 0.000
Li 0.000 0.500 0.500
Li 0.500 0.000 0.500
Li 0.500 0.500 0.000
La 0.250 0.250 0.250
La 0.250 0.750 0.750
La 0.750 0.250 0.750
La 0.750 0.750 0.250
As 0.000 0.000 0.500
As 0.000 0.500 0.000
As 0.500 0.000 0.000
As 0.500 0.500 0.500
Ir 0.250 0.250 0.750
Ir 0.250 0.750 0.250
Ir 0.750 0.250 0.250
Ir 0.750 0.750 0.750

* electronic total energy: -0.409 Ry/atom
* volume: 18.46 Å³ per atom

---

# 10
MoPt2I after structural relaxation, computed with PBE-GGA.

abc: 3.056 3.056 9.686
angles: 90.00 90.00 120.00
Positions (direct):
Mo 0.000 0.000 0.000
Pt 0.333 0.667 0.205
Pt 0.333 0.667 0.795
I 0.333 0.667 0.500

* electronic total energy: -0.429 Ry/atom
* volume: 19.59 Å³ per atom

---

# 11
Si16Ge12P3Pd after structural relaxation, computed with PBE-GGA.

abc: 6.811 10.313 10.419
angles: 81.19 71.09 83.45
Positions (direct):
Si 0.000 0.000 0.000
Si 0.000 0.377 0.877
Si 0.106 0.453 0.275
Si 0.111 0.581 0.892
Si 0.114 0.334 0.647
Si 0.116 0.202 0.016
Si 0.475 0.565 0.820
Si 0.481 0.680 0.436
Si 0.485 0.184 0.939
Si 0.493 0.058 0.320
Si 0.614 0.261 0.333
Si 0.617 0.521 0.584
Si 0.620 0.136 0.712
Si 0.621 0.639 0.202
Si 0.991 0.502 0.503
Si 0.993 0.615 0.123
Ge 0.001 0.860 0.382
Ge 0.105 0.932 0.778
Ge 0.116 0.821 0.141
Ge 0.118 0.073 0.400
Ge 0.483 0.436 0.191
Ge 0.485 0.931 0.706
Ge 0.492 0.311 0.569
Ge 0.612 0.879 0.465
Ge 0.621 0.010 0.082
Ge 0.623 0.387 0.951
Ge 0.990 0.249 0.250
Ge 0.994 0.126 0.638
P 0.123 0.690 0.522
P 0.493 0.802 0.060
P 0.620 0.752 0.838
Pd 0.974 0.733 0.747

* electronic total energy: -0.374 Ry/atom
* volume: 21.33 Å³ per atom

---

# 12
Lu2Zr4Si3N3 after structural relaxation, computed with PBE-GGA.

abc: 5.712 5.712 14.051
angles: 101.90 101.90 59.93
Positions (direct):
Lu 0.036 0.871 0.603
Lu 0.129 0.964 0.897
Lu 0.871 0.036 0.103
Lu 0.964 0.129 0.397
Zr 0.197 0.361 0.090
Zr 0.301 0.471 0.410
Zr 0.361 0.197 0.590
Zr 0.471 0.301 0.910
Zr 0.529 0.699 0.090
Zr 0.639 0.803 0.410
Zr 0.699 0.529 0.590
Zr 0.803 0.639 0.910
Si 0.081 0.315 0.750
Si 0.315 0.081 0.250
Si 0.497 0.503 0.250
Si 0.503 0.497 0.750
Si 0.685 0.919 0.750
Si 0.919 0.685 0.250
N 0.000 0.500 0.500
N 0.163 0.674 0.000
N 0.326 0.837 0.500
N 0.500 0.000 0.000
N 0.674 0.163 0.500
N 0.837 0.326 0.000

* electronic total energy: -0.602 Ry/atom
* volume: 16.06 Å³ per atom

---

# 13
CdSiPO after structural relaxation, computed with PBE-GGA.

abc: 4.312 4.312 7.833
angles: 90.00 90.00 90.00
Positions (direct):
Cd 0.250 0.250 0.066
Cd 0.750 0.750 0.934
Si 0.250 0.750 0.500
Si 0.750 0.250 0.500
P 0.250 0.250 0.629
P 0.750 0.750 0.371
O 0.250 0.750 0.000
O 0.750 0.250 0.000

* electronic total energy: -0.322 Ry/atom
* volume: 18.21 Å³ per atom

---

# 14
SmDyAu after structural relaxation, computed with PBE-GGA.

abc: 6.910 6.910 6.910
angles: 90.00 90.00 90.00
Positions (direct):
Sm 0.000 0.000 0.000
Sm 0.000 0.500 0.500
Sm 0.500 0.000 0.500
Sm 0.500 0.500 0.000
Dy 0.250 0.250 0.750
Dy 0.250 0.750 0.250
Dy 0.750 0.250 0.250
Dy 0.750 0.750 0.750
Au 0.000 0.000 0.500
Au 0.000 0.500 0.000
Au 0.500 0.000 0.000
Au 0.500 0.500 0.500

* electronic total energy: -0.301 Ry/atom
* volume: 27.49 Å³ per atom
* formation energy: 0.09 eV/atom

---

# 15
CsPrNO after structural relaxation, computed with PBE-GGA.

abc: 7.552 9.219 6.136
angles: 90.00 90.00 90.00
Positions (direct):
Cs 0.082 0.126 0.000
Cs 0.418 0.126 0.500
Cs 0.582 0.874 0.000
Cs 0.918 0.874 0.500
Pr 0.089 0.614 0.990
Pr 0.411 0.614 0.490
Pr 0.589 0.386 0.990
Pr 0.911 0.386 0.490
N 0.113 0.576 0.598
N 0.387 0.576 0.098
N 0.613 0.424 0.598
N 0.887 0.424 0.098
O 0.028 0.175 0.507
O 0.472 0.175 0.007
O 0.528 0.825 0.507
O 0.972 0.825 0.007

* electronic total energy: -0.426 Ry/atom
* volume: 26.70 Å³ per atom

---

# 16
Rb2TlCdF6 after structural relaxation, computed with PBE-GGA.

abc: 6.286 6.275 10.919
angles: 90.00 125.14 90.00
Positions (direct):
Rb 0.246 0.032 0.249
Rb 0.246 0.468 0.749
Rb 0.754 0.532 0.251
Rb 0.754 0.968 0.751
Tl 0.500 0.000 0.000
Tl 0.500 0.500 0.500
Cd 0.000 0.000 0.500
Cd 0.000 0.500 0.000
F 0.166 0.214 0.967
F 0.166 0.286 0.467
F 0.252 0.700 0.967
F 0.252 0.800 0.467
F 0.308 0.012 0.743
F 0.308 0.488 0.243
F 0.692 0.512 0.757
F 0.692 0.988 0.257
F 0.748 0.200 0.533
F 0.748 0.300 0.033
F 0.834 0.714 0.533
F 0.834 0.786 0.033

* electronic total energy: -0.288 Ry/atom
* volume: 17.61 Å³ per atom

---

# 17
GdBe after structural relaxation, computed with PBE-GGA.

abc: 5.761 5.761 5.761
angles: 90.00 90.00 90.00
Positions (direct):
Gd 0.000 0.000 0.000
Gd 0.000 0.500 0.500
Gd 0.500 0.000 0.500
Gd 0.500 0.500 0.000
Be 0.000 0.000 0.500
Be 0.000 0.500 0.000
Be 0.500 0.000 0.000
Be 0.500 0.500 0.500

* electronic total energy: -0.269 Ry/atom
* volume: 23.90 Å³ per atom

---

# 18
AgPbSO after structural relaxation, computed with PBE-GGA.

abc: 3.742 15.078 5.728
angles: 90.00 90.00 90.00
Positions (direct):
Ag 0.000 0.055 0.000
Ag 0.000 0.945 0.500
Ag 0.500 0.445 0.500
Ag 0.500 0.555 0.000
Pb 0.000 0.327 0.969
Pb 0.000 0.673 0.469
Pb 0.500 0.173 0.469
Pb 0.500 0.827 0.969
S 0.000 0.332 0.462
S 0.000 0.668 0.962
S 0.500 0.168 0.962
S 0.500 0.832 0.462
O 0.000 0.088 0.442
O 0.000 0.912 0.942
O 0.500 0.412 0.942
O 0.500 0.588 0.442

* electronic total energy: -0.312 Ry/atom
* volume: 20.20 Å³ per atom

---

# 19
LaEr2Cd3AgAu2 after structural relaxation, computed with PBE-GGA.

abc: 3.875 7.934 7.934
angles: 120.39 90.00 90.00
Positions (direct):
La 0.000 0.000 0.000
Er 0.000 0.408 0.816
Er 0.000 0.816 0.408
Cd 0.500 0.146 0.412
Cd 0.500 0.412 0.146
Cd 0.500 0.663 0.663
Ag 0.000 0.411 0.411
Au 0.500 0.076 0.733
Au 0.500 0.733 0.076

* electronic total energy: -0.255 Ry/atom
* volume: 23.38 Å³ per atom
* formation energy: -0.57 eV/atom

---

# 20
Hf2MoC3 after structural relaxation, computed with PBE-GGA.

abc: 3.217 3.217 7.851
angles: 90.00 90.00 120.00
Positions (direct):
Hf 0.333 0.667 0.173
Hf 0.667 0.333 0.827
Mo 0.000 0.000 0.500
C 0.000 0.000 0.000
C 0.333 0.667 0.657
C 0.667 0.333 0.343

* electronic total energy: -0.760 Ry/atom
* volume: 11.73 Å³ per atom